w.
SrZr2Br at its PBEsol-relaxed geometry, computed with SCAN.

D(E_F)	4.783	states/eV/f.u.
spin magnetization	1.0	Bohr magnetons per cell

Cell lengths 3.3125, 5.7160, 6.4233 Å; angles 116.42, 90.00, 90.00 degrees
Sites, in units of the cell vectors:
Zr1 0.0000 0.5000 0.5000
Zr2 0.0000 0.0000 0.5000
Sr1 0.5000 0.5000 0.0000
Br1 0.5000 0.0000 0.0000

---

x.
SrZr2Br at its PBEsol-relaxed geometry, computed with SCAN.

D(E_F)	4.087	states/eV/f.u.
spin magnetization	0.0	Bohr magnetons per cell

Cell lengths 4.1139, 4.1139, 6.7395 Å; angles 90.00, 90.00, 90.00 degrees
Sites, in units of the cell vectors:
Br1 0.5000 0.5000 0.5000
Zr1 0.5000 0.0000 0.0000
Sr1 0.0000 0.0000 0.5000
Zr2 0.0000 0.5000 0.0000

---

y.
SrZr2Br at its PBEsol-relaxed geometry, computed with SCAN.

D(E_F)	3.982	states/eV/f.u.
spin magnetization	0.0	Bohr magnetons per cell

Cell lengths 3.2440, 5.0905, 6.8274 Å; angles 111.89, 103.74, 90.00 degrees
Sites, in units of the cell vectors:
Sr1 0.0000 0.5000 0.0000
Br1 0.5000 0.0000 0.0000
Zr1 0.7834 0.7834 0.5668
Zr2 0.2166 0.2166 0.4332

---

Stability, descending: y, x, w